BeTlV2F | GGA+U | relaxed

Summary:
Volume in Å³/cell: 82.28
Raw total energy in eV per cell: -21.59
Total moment in Bohr magnetons per cell: 5.9

```
5
Lattice="4.429 0.000 0.000 0.000 4.194 0.000 0.000 0.000 4.429" Properties=species:S:1:pos:R:3 pbc="T T T"
F 0.000 0.000 0.000
Tl 2.215 2.097 2.215
V 0.000 0.000 2.215
V 2.215 0.000 0.000
Be 0.000 2.097 0.000
```